The following is a DFT calculation (PBE-GGA) of crystalline Li2ZrSn4 at its relaxed geometry.

Summary:
Its total DFT energy (no corrections) is -55.1 eV/cell. As for the crystal system: tetragonal. The value obtained for the formation enthalpy at 0 K is 2.784 kcal/mol of atoms. For the magnetization, the calculation gives 0.000 μB per atom.

Cell and atoms, written as CIF:
```
data_Li2ZrSn4
_cell_length_a 5.5130
_cell_length_b 5.5130
_cell_length_c 14.3253
_cell_angle_alpha 90.00
_cell_angle_beta 90.00
_cell_angle_gamma 90.00
_symmetry_space_group_name_H-M 'I 4/m m m'
_symmetry_Int_Tables_number 139
_symmetry_space_group_name_Hall '-I 4 2'
loop_
_atom_site_label
_atom_site_type_symbol
_atom_site_fract_x
_atom_site_fract_y
_atom_site_fract_z
Li1 Li 0.0000 0.0000 0.1081
Zr1 Zr 0.0000 0.0000 0.5000
Sn1 Sn 0.0000 0.0000 0.3045
Sn2 Sn 0.0000 0.5000 0.0000
```